! Ba2SmZnO5, optimized geometry, DFT GGA-PBE; values from VASP
! **V**: 313.8 Å³/cell
! **ΔE_f (raw)**: -2311 meV/atom
&SYSTEM
  ibrav = 0, nat = 18, ntyp = 4
/
ATOMIC_SPECIES
Ba 137.33 Ba.upf
O 16.00 O.upf
Zn 65.41 Zn.upf
Sm 150.36 Sm.upf
ATOMIC_POSITIONS crystal
Ba 0.892 0.784 0.180
Ba 0.135 0.271 0.331
Ba 0.865 0.729 0.831
Ba 0.108 0.216 0.680
O 0.327 0.653 0.392
O 0.031 0.063 0.009
O 0.705 0.409 0.160
O 0.506 0.013 0.280
O 0.295 0.591 0.660
O 0.969 0.937 0.509
O 0.494 0.987 0.780
O 0.342 0.684 0.007
O 0.658 0.316 0.507
O 0.673 0.347 0.892
Zn 0.541 0.082 0.937
Zn 0.459 0.918 0.437
Sm 0.195 0.390 0.030
Sm 0.805 0.610 0.530
CELL_PARAMETERS angstrom
-1.854 -0.628 3.072
-1.097 -6.478 -4.145
9.333 -4.585 4.695

=====

! Ba3SmZn2O6, optimized geometry, DFT GGA-PBE; values from VASP
! **V**: 238.5 Å³/cell
! **ΔE_f (raw)**: -2175 meV/atom
&SYSTEM
  ibrav = 0, nat = 12, ntyp = 4
/
ATOMIC_SPECIES
Zn 65.41 Zn.upf
Ba 137.33 Ba.upf
O 16.00 O.upf
Sm 150.36 Sm.upf
ATOMIC_POSITIONS crystal
Zn 0.667 0.333 0.805
Zn 0.333 0.667 0.195
Ba 0.667 0.333 0.358
Ba 0.000 0.000 0.000
Ba 0.333 0.667 0.642
O 0.337 0.169 0.698
O 0.169 0.337 0.302
O 0.169 0.831 0.302
O 0.663 0.831 0.302
O 0.831 0.663 0.698
O 0.831 0.169 0.698
Sm 0.000 0.000 0.500
CELL_PARAMETERS angstrom
6.234 0.000 0.000
-3.117 5.399 0.000
0.000 0.000 7.085

=====

! Ba3SmZr2O9, optimized geometry, DFT GGA-PBE; values from VASP
! **V**: 248.6 Å³/cell
! **ΔE_f (raw)**: -3009 meV/atom
&SYSTEM
  ibrav = 0, nat = 15, ntyp = 4
/
ATOMIC_SPECIES
Sm 150.36 Sm.upf
Ba 137.33 Ba.upf
O 16.00 O.upf
Zr 91.22 Zr.upf
ATOMIC_POSITIONS crystal
Sm 0.000 0.000 0.500
Ba 0.667 0.333 0.329
Ba 0.333 0.667 0.671
Ba 0.000 0.000 0.000
O 0.173 0.827 0.321
O 0.827 0.173 0.679
O 0.347 0.173 0.679
O 0.000 0.500 0.000
O 0.653 0.827 0.321
O 0.500 0.500 0.000
O 0.827 0.653 0.679
O 0.173 0.347 0.321
O 0.500 0.000 0.000
Zr 0.667 0.333 0.838
Zr 0.333 0.667 0.162
CELL_PARAMETERS angstrom
-2.991 -5.062 -1.829
4.575 2.281 -3.431
4.968 -4.297 3.768